Entry 1:
The following is a GGA-PBE calculation of an optimized crystal structure of PmRhF6, from Alexandria.

It has space group R-3 (No. 148, hexagonal axes), with a = 5.4927 Å, b = 5.4927 Å, c = 15.0238 Å, α = 90.00°, β = 90.00° and γ = 120.00°. The asymmetric unit holds Pm at (0.0000, 0.0000, 0.0000), Rh at (0.0000, 0.0000, 0.5000) and F at (0.0254, 0.3066, 0.5787).

As for the excess energy over the best structure of this formula in the dataset: 0.00 kcal/mol of atoms. The energy relative to the elements, uncorrected is -2773 meV per atom.

***

Entry 2:
The following is a GGA-PBE calculation of an optimized crystal structure of MnPdPb3, from Alexandria.

It has space group Pm-3m (No. 221), with a = 5.0909 Å, b = 5.0909 Å, c = 5.0909 Å, α = 90.00°, β = 90.00° and γ = 90.00°. The asymmetric unit holds Mn at (0.0000, 0.0000, 0.0000), Pd at (0.5000, 0.5000, 0.5000) and Pb at (0.0000, 0.0000, 0.5000).

The calculation puts the formation enthalpy at 0 K at 236 kJ/mol of formula units.

***

| no. | density of states at the Fermi level (states/eV per atom) |
| --- | --- |
| 1 | 0.000 |
| 2 | 0.404 |